(1)
VASP calculation (PBE-GGA) on a relaxed MgGaNiPd crystal.

Lattice parameters (Å, degrees): 4.320 4.320 4.320 60.00 60.00 60.00
Atoms (fractional coordinates):
1 Mg 0.000 0.000 0.000
2 Ga 0.500 0.500 0.500
3 Ni 0.750 0.750 0.750
4 Pd 0.250 0.250 0.250

Calculated values
- Formation energy: -0.497 eV per atom
- Symmetry: No. 216
- Calculated volume: 14.26 Å³ per atom

(2)
VASP calculation (PBE-GGA) on a relaxed Mg3Ga3NiPd2 crystal.

Lattice parameters (Å, degrees): 7.290 7.290 3.156 90.00 90.00 120.00
Atoms (fractional coordinates):
1 Mg 0.000 0.385 0.000
2 Mg 0.385 0.000 0.000
3 Mg 0.615 0.615 0.000
4 Ga 0.000 0.730 0.500
5 Ga 0.270 0.270 0.500
6 Ga 0.730 0.000 0.500
7 Ni 0.000 0.000 0.000
8 Pd 0.333 0.667 0.500
9 Pd 0.667 0.333 0.500

Calculated values
- Formation energy: -0.513 eV per atom
- Symmetry: No. 189
- Calculated volume: 16.14 Å³ per atom

(3)
VASP calculation (PBE-GGA) on a relaxed Pm2MgGa2Ni5 crystal.

Lattice parameters (Å, degrees): 9.738 9.738 3.543 90.00 90.00 90.00
Atoms (fractional coordinates):
1 Pm 0.180 0.320 0.000
2 Pm 0.320 0.820 0.000
3 Pm 0.680 0.180 0.000
4 Pm 0.820 0.680 0.000
5 Mg 0.000 0.000 0.000
6 Mg 0.500 0.500 0.000
7 Ga 0.116 0.616 0.000
8 Ga 0.384 0.116 0.000
9 Ga 0.616 0.884 0.000
10 Ga 0.884 0.384 0.000
11 Ni 0.000 0.500 0.500
12 Ni 0.061 0.781 0.500
13 Ni 0.219 0.061 0.500
14 Ni 0.281 0.561 0.500
15 Ni 0.439 0.281 0.500
16 Ni 0.500 0.000 0.500
17 Ni 0.561 0.719 0.500
18 Ni 0.719 0.439 0.500
19 Ni 0.781 0.939 0.500
20 Ni 0.939 0.219 0.500

Calculated values
- Formation energy: -0.288 eV per atom
- Symmetry: No. 127
- Calculated volume: 16.80 Å³ per atom

Q: Look up the calculated volume of the third one.
A: 16.80 Å³ per atom